1.
Compound: Li2CdPb2
Source: Alexandria
Functional: SCAN
Structure: single point on PBEsol structure

Output
excess energy over the best structure of this formula in the dataset	174	meV per atom
SG	I4/mmm (139)
E_tot	-37.4247	eV/atom
formation enthalpy at 0 K	-0.073	eV per atom

POSCAR file:
```
Li2CdPb2
1.0
-3.6089 -1.1608 -1.7160
2.0457 -1.4522 -3.3200
1.3154 -4.7660 5.5031
Cd Pb Li
1 2 2
Direct
0.0000 0.0000 0.0000 Cd
0.6065 0.6065 0.2130 Pb
0.3935 0.3935 0.7870 Pb
0.7500 0.2500 0.5000 Li
0.2500 0.7500 0.5000 Li
```

2.
Compound: LiCdPb
Source: Alexandria
Functional: SCAN
Structure: single point on PBEsol structure

Output
excess energy over the best structure of this formula in the dataset	15	meV per atom
SG	I4mm (107)
E_tot	-36.3880	eV/atom
formation enthalpy at 0 K	-0.193	eV per atom

POSCAR file:
```
LiCdPb
1.0
-3.2330 -0.8592 0.3216
-0.1935 -0.5130 -3.3156
3.2720 -4.8904 2.2689
Pb Cd Li
1 1 1
Direct
0.6750 0.6750 0.3500 Pb
0.9807 0.9807 0.9614 Cd
0.3443 0.3443 0.6886 Li
```

3.
Compound: LiCd4Pb
Source: Alexandria
Functional: SCAN
Structure: single point on PBEsol structure

Output
SG	F-43m (216)
E_tot	-33.3664	eV/atom
formation enthalpy at 0 K	-0.062	eV per atom

POSCAR file:
```
LiCd4Pb
1.0
5.7964 0.0000 0.0000
2.8982 5.0199 0.0000
2.8982 1.6733 4.7328
Pb Cd Li
1 4 1
Direct
0.0000 0.0000 0.0000 Pb
0.3756 0.8731 0.3756 Cd
0.3756 0.3756 0.3756 Cd
0.8731 0.3756 0.3756 Cd
0.3756 0.3756 0.8731 Cd
0.7500 0.7500 0.7500 Li
```

4.
Compound: LiCd2Pt2
Source: Alexandria
Functional: SCAN
Structure: single point on PBEsol structure

Output
SG	P4/mbm (127)
E_tot	-41.0953	eV/atom
formation enthalpy at 0 K	-0.374	eV per atom

POSCAR file:
```
LiCd2Pt2
1.0
-0.4888 -1.5123 -2.4844
7.3838 1.3476 -2.2731
2.3007 -6.5967 3.5628
Cd Pt Li
4 4 2
Direct
0.5000 0.6690 0.8310 Cd
0.5000 0.1690 0.6690 Cd
0.5000 0.3310 0.1690 Cd
0.5000 0.8310 0.3310 Cd
0.0000 0.8715 0.6285 Pt
0.0000 0.3715 0.8715 Pt
0.0000 0.1285 0.3715 Pt
0.0000 0.6285 0.1285 Pt
0.0000 0.0000 0.0000 Li
0.0000 0.5000 0.5000 Li
```

5.
Compound: RbLiCd3
Source: Alexandria
Functional: SCAN
Structure: single point on PBEsol structure

Output
SG	Pm-3m (221)
E_tot	-22.8408	eV/atom
formation enthalpy at 0 K	0.034	eV per atom

POSCAR file:
```
RbLiCd3
1.0
5.2152 0.0000 0.0000
0.0000 5.2152 0.0000
0.0000 0.0000 5.2152
Li Cd Rb
1 3 1
Direct
0.0000 0.0000 0.0000 Li
0.5000 0.0000 0.0000 Cd
0.0000 0.5000 0.0000 Cd
0.0000 0.0000 0.5000 Cd
0.5000 0.5000 0.5000 Rb
```

6.
Compound: RbLi3Cd
Source: Alexandria
Functional: SCAN
Structure: single point on PBEsol structure

Output
SG	Pm-3m (221)
E_tot	-11.6390	eV/atom
formation enthalpy at 0 K	0.026	eV per atom

POSCAR file:
```
RbLi3Cd
1.0
-3.9035 0.7019 3.7167
-0.7608 -5.3776 0.2165
3.7051 -0.3648 3.9602
Li Cd Rb
3 1 1
Direct
0.0000 0.0000 0.5000 Li
0.0000 0.5000 0.0000 Li
0.5000 0.0000 0.0000 Li
0.0000 0.0000 0.0000 Cd
0.5000 0.5000 0.5000 Rb
```

7.
Compound: LiCd2Re
Source: Alexandria
Functional: SCAN
Structure: single point on PBEsol structure

Output
excess energy over the best structure of this formula in the dataset	242	meV per atom
SG	I4/mmm (139)
E_tot	-33.0448	eV/atom
formation enthalpy at 0 K	0.534	eV per atom

POSCAR file:
```
LiCd2Re
1.0
-1.4773 3.8202 -2.0642
-0.3094 -4.0402 -2.1599
-4.1045 -1.9401 -0.6530
Li Cd Re
1 2 1
Direct
0.5000 0.0000 0.5000 Li
0.7500 0.5000 0.7500 Cd
0.2500 0.5000 0.2500 Cd
0.0000 0.0000 0.0000 Re
```

8.
Compound: LiCd2Re
Source: Alexandria
Functional: SCAN
Structure: single point on PBEsol structure

Output
excess energy over the best structure of this formula in the dataset	0	meV per atom
SG	Cm (8)
E_tot	-33.2869	eV/atom
formation enthalpy at 0 K	0.292	eV per atom

POSCAR file:
```
LiCd2Re
1.0
-2.4126 1.0272 0.8258
-2.3547 -4.0372 -1.8580
2.6798 -1.0864 4.6046
Li Cd Re
1 2 1
Direct
0.5041 0.4169 0.0081 Li
0.7501 0.3405 0.5002 Cd
0.9963 0.9005 0.9926 Cd
0.2496 0.8421 0.4991 Re
```

> What is the E_tot in the sixth record?

-11.6390 eV/atom